VASP calculation (GGA-PBE) on a relaxed TiPbSN2 crystal.

a b c (Å): 3.995 3.995 5.133
angles (deg): 90.00 90.00 90.00
Each line ends with the local moment (μB).
Fractional positions:
N 0.500 0.000 0.000  0.19
N 0.000 0.500 0.000  0.19
Ti 0.000 0.000 0.000  -0.06
Pb 0.500 0.500 0.500  0.00
S 0.000 0.000 0.500  0.01

Calculated values
Magnetic moment in μB/cell: 0.5
Polymorph energy (0 for the lowest one) in meV/atom: 0
Fermi-level density of states in states/eV/f.u.: 3.4
Formation energy without anion corrections in eV per atom: 0.01

VASP calculation (GGA-PBE) on a relaxed Tb4Y19Tm6 crystal.

a b c (Å): 10.799 10.799 10.799
angles (deg): 109.47 109.47 109.47
Fractional positions:
Tm 0.500 0.875 0.375
Tm 0.500 0.125 0.625
Tm 0.375 0.500 0.875
Tm 0.125 0.625 0.500
Tm 0.875 0.375 0.500
Tm 0.625 0.500 0.125
Y 0.205 0.216 0.545
Y 0.795 0.340 0.011
Y 0.000 0.737 0.737
Y 0.455 0.671 0.660
Y 0.329 0.784 0.989
Y 0.340 0.011 0.795
Y 0.011 0.795 0.340
Y 0.784 0.989 0.329
Y 0.737 0.737 0.000
Y 0.737 0.000 0.737
Y 0.671 0.660 0.455
Y 0.000 0.000 0.000
Y 0.263 0.000 0.263
Y 0.263 0.263 0.000
Y 0.545 0.205 0.216
Y 0.216 0.545 0.205
Y 0.000 0.263 0.263
Y 0.989 0.329 0.784
Y 0.660 0.455 0.671
Tb 0.357 0.357 0.357
Tb 0.000 0.643 0.000
Tb 0.643 0.000 0.000
Tb 0.000 0.000 0.643

Calculated values
Magnetic moment in μB/cell: 0.2
Fermi-level density of states in states/eV/f.u.: 45.9
Calculated formation energy in eV/f.u.: 11.29